Entry 1:
Density functional theory data (PBE) for a geometry-optimized Ca2Tl2Cd15 structure.

Energy relative to the elements: -0.108 eV/atom
Theoretical density: 7.7 g/cm3

abc: 10.4611 10.4611 14.7778
angles: 90.00 90.00 120.00
Last column: nearest neighbours and their distance in Å.
Space group R-3m (No. 166, hexagonal axes)
Inequivalent atoms, fractional coordinates:
Ca: 0.0000 0.0000 0.1582 (multiplicity 6)  1 Tl 3.51, 12 Cd 3.57-3.79
Tl: 0.0000 0.0000 0.3958 (multiplicity 6)  1 Tl 3.08, 6 Cd 3.16-3.38
Cd: 0.0000 0.3154 0.5000 (multiplicity 18)  8 Cd 2.97-3.30
Cd: 0.0000 0.5000 0.0000 (multiplicity 9)  8 Cd 2.97-3.12, 2 Tl 3.16
Cd: 0.0198 0.5099 0.6553 (multiplicity 18)  8 Cd 2.86-3.12

***

Entry 2:
Density functional theory data (PBE) for a geometry-optimized ZnNiAg structure.

Energy relative to the elements: -0.024 eV/atom
Polymorph energy (0 for the lowest one): 0.0 meV/atom
Theoretical density: 9.0 g/cm3

abc: 2.8488 2.8488 10.5278
angles: 90.00 90.00 90.00
Last column: nearest neighbours and their distance in Å.
Space group I4mm (No. 107)
Inequivalent atoms, fractional coordinates:
Zn: 0.0000 0.0000 0.0000 (multiplicity 2)  4 Ni 2.48
Ni: 0.0000 0.0000 0.6374 (multiplicity 2)  4 Zn 2.48, 4 Ag 2.74
Ag: 0.0000 0.0000 0.3135 (multiplicity 2)  4 Ni 2.74, 4 Zn 2.81, 4 Ag 2.85

***

Entry 3:
Density functional theory data (PBE) for a geometry-optimized BeNb2Ag2 structure.

Energy relative to the elements: 0.710 eV/atom
Polymorph energy (0 for the lowest one): 0.0 meV/atom
Theoretical density: 7.6 g/cm3

abc: 6.1673 6.1673 4.7144
angles: 90.00 90.00 90.00
Last column: nearest neighbours and their distance in Å.
Space group P4/mbm (No. 127)
Inequivalent atoms, fractional coordinates:
Be: 0.0000 0.0000 0.0000 (multiplicity 2)  4 Nb 2.37
Nb: 0.1429 0.3571 0.0000 (multiplicity 4)  2 Be 2.37, 1 Nb 2.49
Ag: 0.1607 0.6607 0.5000 (multiplicity 4)  1 Ag 2.80, 6 Nb 2.91-3.01